Record 1
The following is a DFT calculation (GGA-PBE) of an optimized crystal structure of Dy2PuCu.

Properties
Total DFT energy (no corrections)   -26.4 eV per formula unit
Size of the total moment   18.7 μB/cell
V   27.25 Å³/atom
ΔE to the lowest computed polymorph   325 meV/atom
Fermi-level density of states   32.91 states/eV per cell

Lattice parameters (Å, degrees): 3.4125 3.4125 32.4255 90.00 90.00 120.00
Space group R-3m (No. 166, hexagonal axes)
Unique sites:
Dy 0.0000 0.0000 0.1020
Pu 0.0000 0.0000 0.0000
Cu 0.0000 0.0000 0.5000



Record 2
The following is a DFT calculation (GGA-PBE) of an optimized crystal structure of DyPuCu10.

Properties
Total DFT energy (no corrections)   -61.2 eV per formula unit
Size of the total moment   6.1 μB/cell
V   14.94 Å³/atom
Fermi-level density of states   18.24 states/eV per cell

Lattice parameters (Å, degrees): 4.069 5.055 8.719 90.00 90.00 90.00
Space group Pmmm (No. 47)
Unique sites:
Dy 0.000 0.000 0.000
Pu 0.000 0.500 0.500
Cu 0.000 0.000 0.331
Cu 0.000 0.500 0.165
Cu 0.500 0.000 0.500
Cu 0.500 0.248 0.247
Cu 0.500 0.500 0.000



Record 3
The following is a DFT calculation (GGA-PBE) of an optimized crystal structure of DyPu2CuS5.

Properties
Raw formation energy   -1495 meV/atom
Total DFT energy (no corrections)   -71.5 eV per formula unit
Size of the total moment   0.3 μB/cell
V   20.52 Å³/atom
Fermi-level density of states   89.72 states/eV per cell

Lattice parameters (Å, degrees): 3.825 16.457 11.734 90.00 90.00 90.00
Space group Cmc2_1 (No. 36)
Unique sites:
Dy 0.000 0.181 0.000
Pu 0.000 0.110 0.320
Pu 0.000 0.118 0.665
Cu 0.000 0.450 0.397
S 0.000 0.013 0.991
S 0.000 0.303 0.664
S 0.000 0.316 0.331
S 0.000 0.345 0.990
S 0.000 0.495 0.721



Record 4
The following is a DFT calculation (GGA-PBE) of an optimized crystal structure of Dy2PuCuS5.

Properties
Raw formation energy   -1573 meV/atom
Total DFT energy (no corrections)   -62.4 eV per formula unit
Size of the total moment   20.0 μB/cell
V   20.59 Å³/atom
Fermi-level density of states   44.37 states/eV per cell

Lattice parameters (Å, degrees): 3.820 17.342 11.191 90.00 90.00 90.00
Space group Cmc2_1 (No. 36)
Unique sites:
Dy 0.000 0.099 0.000
Dy 0.000 0.115 0.624
Pu 0.000 0.200 0.325
Cu 0.000 0.439 0.770
S 0.000 0.047 0.380
S 0.000 0.296 0.000
S 0.000 0.324 0.656
S 0.000 0.362 0.319
S 0.000 0.497 0.094



Record 5
The following is a DFT calculation (GGA-PBE) of an optimized crystal structure of DyPuCuS4.

Properties
Raw formation energy   -1327 meV/atom
Total DFT energy (no corrections)   -48.8 eV per formula unit
Size of the total moment   10.4 μB/cell
V   19.69 Å³/atom
Fermi-level density of states   21.32 states/eV per cell

Lattice parameters (Å, degrees): 6.694 5.500 7.817 90.00 106.74 90.00
Space group P2_1/m (No. 11)
Unique sites:
Dy 0.228 0.250 0.433
Pu 0.243 0.250 0.937
Cu 0.248 0.750 0.184
S 0.070 0.750 0.393
S 0.071 0.750 0.891
S 0.483 0.514 0.740



Record 6
The following is a DFT calculation (GGA-PBE) of an optimized crystal structure of Dy2PuCuSe5.

Properties
Raw formation energy   -1393 meV/atom
Total DFT energy (no corrections)   -57.6 eV per formula unit
Size of the total moment   20.0 μB/cell
V   23.61 Å³/atom
Fermi-level density of states   49.67 states/eV per cell

Lattice parameters (Å, degrees): 3.982 18.115 11.781 90.00 90.00 90.00
Space group Cmc2_1 (No. 36)
Unique sites:
Dy 0.000 0.101 0.000
Dy 0.000 0.116 0.623
Pu 0.000 0.198 0.326
Cu 0.000 0.434 0.772
Se 0.000 0.045 0.382
Se 0.000 0.295 0.001
Se 0.000 0.322 0.653
Se 0.000 0.361 0.319
Se 0.000 0.498 0.097



Record 7
The following is a DFT calculation (GGA-PBE) of an optimized crystal structure of DyPuCuSe4.

Properties
Raw formation energy   -1189 meV/atom
Total DFT energy (no corrections)   -45.3 eV per formula unit
Size of the total moment   10.4 μB/cell
V   22.76 Å³/atom
Fermi-level density of states   24.78 states/eV per cell

Lattice parameters (Å, degrees): 7.064 5.766 8.161 90.00 106.57 90.00
Space group P2_1/m (No. 11)
Unique sites:
Dy 0.233 0.250 0.433
Pu 0.235 0.250 0.937
Cu 0.237 0.750 0.182
Se 0.071 0.750 0.400
Se 0.074 0.750 0.884
Se 0.484 0.509 0.740



Record 8
The following is a DFT calculation (GGA-PBE) of an optimized crystal structure of DyPu2Cu2Si2.

Properties
Raw formation energy   -350 meV/atom
Total DFT energy (no corrections)   -54.8 eV per formula unit
Size of the total moment   0.0 μB/cell
V   17.17 Å³/atom
Fermi-level density of states   28.76 states/eV per cell

Lattice parameters (Å, degrees): 3.9583 3.9583 26.5708 90.00 90.00 120.00
Space group R-3m (No. 166, hexagonal axes)
Unique sites:
Dy 0.0000 0.0000 0.0000
Pu 0.0000 0.0000 0.1498
Cu 0.0000 0.0000 0.4076
Si 0.0000 0.0000 0.2577



Record 9
The following is a DFT calculation (GGA-PBE) of an optimized crystal structure of DyPuCuSn.

Properties
Total DFT energy (no corrections)   -28.0 eV per formula unit
Size of the total moment   25.0 μB/cell
V   24.47 Å³/atom
Fermi-level density of states   32.21 states/eV per cell

Lattice parameters (Å, degrees): 7.316 7.316 7.316 90.00 90.00 90.00
Space group F-43m (No. 216)
Unique sites:
Dy 0.000 0.000 0.000
Pu 0.000 0.000 0.500
Cu 0.250 0.250 0.750
Sn 0.250 0.250 0.250



Record 10
The following is a DFT calculation (GGA-PBE) of an optimized crystal structure of DyPuCuTc.

Properties
Total DFT energy (no corrections)   -33.3 eV per formula unit
Size of the total moment   18.2 μB/cell
V   20.11 Å³/atom
Fermi-level density of states   35.16 states/eV per cell

Lattice parameters (Å, degrees): 6.853 6.853 6.853 90.00 90.00 90.00
Space group F-43m (No. 216)
Unique sites:
Dy 0.000 0.000 0.000
Pu 0.000 0.000 0.500
Cu 0.250 0.250 0.250
Tc 0.250 0.250 0.750



Record 11
The following is a DFT calculation (GGA-PBE) of an optimized crystal structure of DyPu2CuTe5.

Properties
Raw formation energy   -927 meV/atom
Total DFT energy (no corrections)   -61.4 eV per formula unit
Size of the total moment   0.1 μB/cell
V   28.97 Å³/atom
Fermi-level density of states   106.16 states/eV per cell

Lattice parameters (Å, degrees): 4.270 18.906 12.918 90.00 90.00 90.00
Space group Cmc2_1 (No. 36)
Unique sites:
Dy 0.000 0.193 0.000
Pu 0.000 0.111 0.673
Pu 0.000 0.122 0.299
Cu 0.000 0.429 0.445
Te 0.000 0.040 0.053
Te 0.000 0.290 0.666
Te 0.000 0.312 0.331
Te 0.000 0.357 0.991
Te 0.000 0.500 0.271



Record 12
The following is a DFT calculation (GGA-PBE) of an optimized crystal structure of RbDy2CuS4.

Properties
Raw formation energy   -1653 meV/atom
Total DFT energy (no corrections)   -44.0 eV per formula unit
Size of the total moment   0.0 μB/cell
V   23.65 Å³/atom

Lattice parameters (Å, degrees): 3.982 13.787 13.785 90.00 90.00 90.00
Space group Cmcm (No. 63)
Unique sites:
Rb 0.000 0.108 0.250
Dy 0.000 0.366 0.062
Cu 0.000 0.165 0.750
S 0.000 0.000 0.000
S 0.000 0.259 0.608
S 0.000 0.425 0.250



Record 13
The following is a DFT calculation (GGA-PBE) of an optimized crystal structure of RbDyCuS3.

Properties
Raw formation energy   -1262 meV/atom
Total DFT energy (no corrections)   -29.6 eV per formula unit
Size of the total moment   0.0 μB/cell
V   26.19 Å³/atom
Fermi-level density of states   7.72 states/eV per cell

Lattice parameters (Å, degrees): 8.669 4.011 9.465 90.00 107.31 90.00
Space group P2_1/m (No. 11)
Unique sites:
Rb 0.210 0.250 0.248
Dy 0.327 0.750 0.861
Cu 0.081 0.250 0.610
S 0.113 0.250 0.859
S 0.181 0.750 0.549
S 0.465 0.750 0.157



Record 14
The following is a DFT calculation (GGA-PBE) of an optimized crystal structure of RbDy2Cu2S4.

Properties
Raw formation energy   -1160 meV/atom
Total DFT energy (no corrections)   -45.3 eV per formula unit
Size of the total moment   0.0 μB/cell
V   24.26 Å³/atom
Fermi-level density of states   3.13 states/eV per cell

Lattice parameters (Å, degrees): 14.940 3.639 8.919 90.00 115.77 90.00
Space group C2/m (No. 12)
Unique sites:
Rb 0.000 0.000 0.000
Dy 0.115 0.000 0.605
Cu 0.184 0.500 0.397
S 0.012 0.500 0.329
S 0.234 0.000 0.281



Record 15
The following is a DFT calculation (GGA-PBE) of an optimized crystal structure of RbDyCu2Sb2.

Properties
Raw formation energy   -551 meV/atom
Total DFT energy (no corrections)   -25.3 eV per formula unit
Size of the total moment   0.0 μB/cell
V   27.24 Å³/atom
Fermi-level density of states   1.08 states/eV per cell

Lattice parameters (Å, degrees): 4.4707 4.4707 9.4412 90.00 90.00 120.00
Space group P-3m1 (No. 164)
Unique sites:
Rb 0.0000 0.0000 0.0000
Dy 0.0000 0.0000 0.5000
Cu 0.3333 0.6667 0.3266
Sb 0.3333 0.6667 0.7063



Record 16
The following is a DFT calculation (GGA-PBE) of an optimized crystal structure of RbDyCuSe2.

Properties
Raw formation energy   -1013 meV/atom
Total DFT energy (no corrections)   -21.7 eV per formula unit
Size of the total moment   0.0 μB/cell
V   30.33 Å³/atom
Fermi-level density of states   4.11 states/eV per cell

Lattice parameters (Å, degrees): 8.102 4.607 8.206 90.00 97.99 90.00
Space group P2/c (No. 13)
Unique sites:
Rb 0.000 0.151 0.250
Dy 0.500 0.494 0.750
Cu 0.500 0.000 0.000
Se 0.274 0.337 0.971



Record 17
The following is a DFT calculation (GGA-PBE) of an optimized crystal structure of RbDy2CuTe4.

Properties
Raw formation energy   -1136 meV/atom
Total DFT energy (no corrections)   -35.9 eV per formula unit
Size of the total moment   0.0 μB/cell
V   32.64 Å³/atom

Lattice parameters (Å, degrees): 4.405 15.310 15.485 90.00 90.00 90.00
Space group Cmcm (No. 63)
Unique sites:
Rb 0.000 0.113 0.250
Dy 0.000 0.366 0.065
Cu 0.000 0.162 0.750
Te 0.000 0.000 0.000
Te 0.000 0.264 0.611
Te 0.000 0.433 0.250



Record 18
The following is a DFT calculation (GGA-PBE) of an optimized crystal structure of Rb2DyCu2Te4.

Properties
Raw formation energy   -834 meV/atom
Total DFT energy (no corrections)   -34.8 eV per formula unit
Size of the total moment   0.0 μB/cell
V   32.02 Å³/atom
Fermi-level density of states   8.35 states/eV per cell

Lattice parameters (Å, degrees): 16.006 4.292 8.837 90.00 108.32 90.00
Space group C2/m (No. 12)
Unique sites:
Rb 0.132 0.000 0.052
Dy 0.000 0.000 0.500
Cu 0.182 0.500 0.487
Te 0.023 0.500 0.269
Te 0.202 0.000 0.673



Record 19
The following is a DFT calculation (GGA-PBE) of an optimized crystal structure of DyThCuRe.

Properties
Total DFT energy (no corrections)   -28.7 eV per formula unit
Size of the total moment   0.0 μB/cell
V   21.69 Å³/atom
Fermi-level density of states   7.90 states/eV per cell

Lattice parameters (Å, degrees): 7.027 7.027 7.027 90.00 90.00 90.00
Space group F-43m (No. 216)
Unique sites:
Dy 0.000 0.000 0.000
Th 0.000 0.000 0.500
Cu 0.250 0.250 0.750
Re 0.250 0.250 0.250



Record 20
The following is a DFT calculation (GGA-PBE) of an optimized crystal structure of Dy3Cu3Rh.

Properties
Total DFT energy (no corrections)   -36.3 eV per formula unit
Size of the total moment   0.0 μB/cell
V   19.97 Å³/atom
Fermi-level density of states   15.81 states/eV per cell

Lattice parameters (Å, degrees): 3.861 10.113 14.323 90.00 90.00 90.00
Space group Cmcm (No. 63)
Unique sites:
Dy 0.000 0.056 0.250
Dy 0.000 0.339 0.092
Cu 0.000 0.235 0.750
Cu 0.000 0.381 0.605
Rh 0.000 0.000 0.000



Record 21
The following is a DFT calculation (GGA-PBE) of an optimized crystal structure of Dy4CuRh2.

Properties
Total DFT energy (no corrections)   -41.2 eV per formula unit
Size of the total moment   0.0 μB/cell
V   23.02 Å³/atom
ΔE to the lowest computed polymorph   13 meV/atom
Fermi-level density of states   19.59 states/eV per cell

Lattice parameters (Å, degrees): 12.222 8.604 8.652 90.00 134.91 90.00
Space group C2 (No. 5)
Unique sites:
Dy 0.062 0.000 0.248
Dy 0.065 0.612 0.379
Dy 0.186 0.250 0.748
Dy 0.186 0.363 0.121
Cu 0.000 0.681 0.000
Cu 0.000 0.927 0.500
Rh 0.131 0.306 0.380
Rh 0.249 0.556 0.879